Record 1
Entry from Alexandria: an optimized crystal structure of ScSiPb2 (PBE-GGA).

Unit cell a=3.3382 b=3.3382 c=8.9254 alpha=90.00 beta=90.00 gamma=90.00
Last column: nearest neighbours and their distance in Å.
Fractional positions:
Pb: 0.0000 0.0000 0.9958  4 Si 3.22, 4 Sc 3.27, 4 Pb 3.34
Pb: 0.0000 0.0000 0.5042  4 Si 3.22, 4 Sc 3.27, 4 Pb 3.34
Si: 0.5000 0.5000 0.7500  8 Pb 3.22, 4 Si 3.34
Sc: 0.5000 0.5000 0.2500  8 Pb 3.27, 4 Sc 3.34

Properties
- formation energy (no corrections) (eV per atom) = 0.259
- uncorrected energy (eV per atom) = -4.5342
- space group = P4/mmm, No. 123
- total magnetization (μB per formula unit) = 0.47


Record 2
Entry from Alexandria: an optimized crystal structure of CeCdGa (PBE-GGA).

Unit cell a=3.2639 b=3.2639 c=6.8778 alpha=103.73 beta=103.73 gamma=90.00
Last column: nearest neighbours and their distance in Å.
Fractional positions:
Cd: 0.3181 0.3181 0.6362  4 Ga 2.99, 4 Cd 3.26
Ga: 0.6717 0.6717 0.3434  4 Cd 2.99, 4 Ce 3.12, 4 Ga 3.26
Ce: 0.0102 0.0102 0.0203  4 Ga 3.12, 4 Ce 3.26, 4 Cd 3.39

Properties
- ΔH_f (0 K) (meV/atom) = -217
- uncorrected energy (eV per atom) = -3.5086
- space group = I4mm, No. 107
- total magnetization (μB per formula unit) = 0.95


Record 3
Entry from Alexandria: an optimized crystal structure of CaZr2Cr (PBE-GGA).

Unit cell a=3.3020 b=3.3020 c=8.8255 alpha=90.00 beta=90.00 gamma=90.02
Last column: nearest neighbours and their distance in Å.
Fractional positions:
Ca: 0.0000 0.0000 0.5360  4 Cr 3.22, 4 Ca 3.30
Zr: 0.0000 0.0000 0.9700  4 Cr 2.84, 4 Zr 3.13
Zr: 0.5000 0.5000 0.2067  8 Zr 3.13-3.30
Cr: 0.5000 0.5000 0.7873  4 Zr 2.84

Properties
- ΔH_f (0 K) (meV/atom) = 348
- uncorrected energy (eV per atom) = -6.8319
- space group = P4mm, No. 99
- total magnetization (μB per formula unit) = 3.75
- energy above the most stable polymorph in this dataset (eV/atom) = 0.106


Record 4
Entry from Alexandria: an optimized crystal structure of Tb12Y5Tm (PBE-GGA).

Unit cell a=15.0816 b=10.6709 c=5.0340 alpha=90.00 beta=90.00 gamma=45.11
Last column: nearest neighbours and their distance in Å.
Fractional positions:
Tb: 0.3325 0.0000 0.0000  8 Tb 3.54-3.56, 4 Y 3.57
Tb: 0.1665 0.0000 0.5000  2 Y 3.55, 8 Tb 3.55-3.56, 2 Tm 3.56
Tb: 0.3331 0.6676 0.0001  8 Tb 3.54-3.57, 1 Tm 3.56, 3 Y 3.56
Tb: 0.4992 0.6665 0.5000  8 Tb 3.54-3.57, 4 Y 3.57-3.58
Tb: 0.6675 0.0000 0.0000  8 Tb 3.54-3.56, 4 Y 3.57
Tb: 0.0007 0.3324 0.0001  8 Tb 3.54-3.57, 1 Tm 3.55, 3 Y 3.56-3.57
Tb: 0.6669 0.3324 0.9999  8 Tb 3.54-3.57, 1 Tm 3.56, 3 Y 3.56
Tb: 0.8344 0.6664 0.5000  8 Tb 3.54-3.57, 4 Y 3.57
Tb: 0.5008 0.3336 0.5000  8 Tb 3.54-3.57, 4 Y 3.57-3.58
Tb: 0.9993 0.6676 0.9999  8 Tb 3.54-3.57, 1 Tm 3.55, 3 Y 3.56-3.57
Tb: 0.1657 0.3336 0.5000  8 Tb 3.54-3.57, 4 Y 3.57
Tb: 0.8335 0.0000 0.5000  2 Y 3.55, 8 Tb 3.55-3.56, 2 Tm 3.56
Tm: 0.0000 0.0000 0.0000  4 Y 3.55, 8 Tb 3.55-3.56
Y: 0.6667 0.6666 0.0000  4 Y 3.56-3.57, 8 Tb 3.56-3.57
Y: 0.5000 0.0000 0.5000  4 Y 3.56, 8 Tb 3.57
Y: 0.1659 0.6683 0.5000  8 Tb 3.55-3.58, 2 Tm 3.55, 2 Y 3.57
Y: 0.3333 0.3334 0.0000  4 Y 3.56-3.57, 8 Tb 3.56-3.57
Y: 0.8341 0.3317 0.5000  8 Tb 3.55-3.58, 2 Tm 3.55, 2 Y 3.57

Properties
- ΔH_f (0 K) (meV/atom) = 19
- uncorrected energy (eV per atom) = -5.1118
- space group = P2/m, No. 10
- total magnetization (μB per formula unit) = 0.00


Record 5
Entry from Alexandria: an optimized crystal structure of LuThMgPd (PBE-GGA).

Unit cell a=5.1732 b=5.1732 c=5.1732 alpha=60.00 beta=60.00 gamma=60.00
Last column: nearest neighbours and their distance in Å.
Fractional positions:
Th: 0.7500 0.7500 0.7500  4 Pd 3.17, 4 Mg 3.17
Mg: 0.0000 0.0000 0.0000  4 Lu 3.17, 4 Th 3.17
Pd: 0.5000 0.5000 0.5000  4 Th 3.17, 4 Lu 3.17
Lu: 0.2500 0.2500 0.2500  4 Mg 3.17, 4 Pd 3.17

Properties
- ΔH_f (0 K) (meV/atom) = -276
- uncorrected energy (eV per atom) = -4.9581
- space group = F-43m, No. 216
- total magnetization (μB per formula unit) = 0.00


Record 6
Entry from Alexandria: an optimized crystal structure of Y2WCl (PBE-GGA).

Unit cell a=3.3238 b=3.6404 c=8.3120 alpha=89.85 beta=90.00 gamma=90.00
Last column: nearest neighbours and their distance in Å.
Fractional positions:
Cl: 0.5000 0.2500 0.2500  4 Y 2.90
W: 0.5000 0.7500 0.7500  8 Y 3.04, 2 W 3.32
Y: 0.0000 0.2491 0.9637  2 Cl 2.90, 4 W 3.04
Y: 0.0000 0.2509 0.5363  2 Cl 2.90, 4 W 3.04

Properties
- formation energy (no corrections) (eV per atom) = -0.379
- uncorrected energy (eV per atom) = -7.3114
- space group = P2/m, No. 10
- total magnetization (μB per formula unit) = 0.00
- energy above the most stable polymorph in this dataset (eV/atom) = 0.000


Record 7
Entry from Alexandria: an optimized crystal structure of CaNpBe2O6 (PBE-GGA).

Unit cell a=5.7194 b=6.8920 c=6.8920 alpha=85.02 beta=72.82 gamma=72.82
Last column: nearest neighbours and their distance in Å.
Fractional positions:
O: 0.1636 0.6176 0.7076  2 Be 1.65-1.75
O: 0.6222 0.1877 0.6135  1 Be 1.68
O: 0.1974 0.9895 0.7643  1 Be 1.62
O: 0.3026 0.2357 0.0105  1 Be 1.62
O: 0.6636 0.7076 0.6176  2 Be 1.65-1.75
O: 0.1222 0.6135 0.1877  1 Be 1.68
O: 0.8026 0.0105 0.2357  1 Be 1.62
O: 0.3778 0.8123 0.3865  1 Be 1.68
O: 0.3364 0.2924 0.3824  2 Be 1.65-1.75
O: 0.8364 0.3824 0.2924  2 Be 1.65-1.75
O: 0.8778 0.3865 0.8123  1 Be 1.68
O: 0.6974 0.7643 0.9895  1 Be 1.62
Be: 0.3373 0.7786 0.6373  4 O 1.62-1.75
Be: 0.8373 0.6373 0.7786  4 O 1.62-1.75
Be: 0.1627 0.3627 0.2214  4 O 1.62-1.75
Be: 0.6627 0.2214 0.3627  4 O 1.62-1.75
Np: 0.2500 0.2912 0.7088  6 O 1.96-2.17
Np: 0.7500 0.7088 0.2912  6 O 1.96-2.17
Ca: 0.2500 0.9060 0.0940  6 O 2.32-2.38
Ca: 0.7500 0.0940 0.9060  6 O 2.32-2.38

Properties
- formation energy (no corrections) (eV per atom) = -2.742
- uncorrected energy (eV per atom) = -7.9568
- space group = C2/c, No. 15
- total magnetization (μB per formula unit) = 1.00


Record 8
Entry from Alexandria: an optimized crystal structure of K2MnW (PBE-GGA).

Unit cell a=2.8809 b=2.8809 c=12.3355 alpha=90.00 beta=90.00 gamma=114.24
Last column: nearest neighbours and their distance in Å.
Fractional positions:
Mn: 0.5000 0.5000 0.2500  6 Mn 2.88-3.13
K: 0.0000 0.0000 0.5026  6 K 2.88-3.13
K: 0.0000 0.0000 0.9974  6 K 2.88-3.13
W: 0.5000 0.5000 0.7500  6 W 2.88-3.13

Properties
- ΔH_f (0 K) (meV/atom) = 1436
- uncorrected energy (eV per atom) = -4.6438
- space group = Cmmm, No. 65
- total magnetization (μB per formula unit) = 3.91
- energy above the most stable polymorph in this dataset (eV/atom) = 0.549